Entry a
Ac2HgF | PBE-GGA | optimized geometry

```
Ac2HgF
1.0
4.141 0.000 0.000
2.070 3.586 0.000
2.070 1.195 9.698
Ac Hg F
2 1 1
Direct
0.082 0.082 0.753
0.918 0.918 0.247
0.500 0.500 0.500
0.000 0.000 0.000
```

=====

Entry b
Ac2HgF | PBE-GGA | optimized geometry

```
Ac2HgF
1.0
3.702 0.000 0.000
0.000 3.702 0.000
0.000 0.000 8.208
Ac Hg F
2 1 1
Direct
0.000 0.000 0.763
0.000 0.000 0.237
0.500 0.500 0.500
0.500 0.500 0.000
```

=====

Comparing the structures above, entry a comes out on top by 293 meV per atom.